Record 1
VASP calculation (GGA-PBE) on an optimized crystal structure of SmPuRh2.

Structure (POSCAR):
```
SmPuRh2
1.0
-2.428 -3.247 0.662
3.224 -2.272 1.149
-1.624 4.285 10.261
Rh Pu Sm
4 2 2
Direct
0.175 0.175 0.105
0.251 0.749 0.500
0.825 0.825 0.895
0.749 0.251 0.500
0.214 0.214 0.343
0.786 0.786 0.657
0.314 0.314 0.866
0.686 0.686 0.134
```

Summary:
- space-group type = No. 12
- magnetization (μB per atom) = 1.26
- E_form (meV/atom) = -326


Record 2
VASP calculation (GGA-PBE) on an optimized crystal structure of SmPu3Rh4.

Structure (POSCAR):
```
SmPu3Rh4
1.0
3.439 0.000 0.000
0.000 4.869 0.000
0.000 0.000 9.756
Rh Pu Sm
4 3 1
Direct
0.000 0.500 0.259
0.000 0.500 0.741
0.000 0.000 0.000
0.000 0.000 0.500
0.500 0.000 0.748
0.500 0.000 0.252
0.500 0.500 0.500
0.500 0.500 0.000
```

Summary:
- space-group type = No. 47
- magnetization (μB per atom) = 1.80
- E_form (meV/atom) = -483


Record 3
VASP calculation (GGA-PBE) on an optimized crystal structure of Sm2PuRh3.

Structure (POSCAR):
```
Sm2PuRh3
1.0
-2.137 2.545 -3.613
-0.027 -4.907 -0.106
-5.210 -0.037 3.055
Rh Pu Sm
3 1 2
Direct
0.667 0.333 0.845
0.000 0.000 0.500
0.333 0.667 0.155
0.000 0.000 0.000
0.667 0.333 0.333
0.333 0.667 0.667
```

Summary:
- space-group type = No. 164
- magnetization (μB per atom) = 0.78
- E_form (meV/atom) = -599


Record 4
VASP calculation (GGA-PBE) on an optimized crystal structure of Sm4PuRh5.

Structure (POSCAR):
```
Sm4PuRh5
1.0
-3.132 -0.197 -1.477
0.491 -3.382 -0.591
-7.146 -3.772 15.653
Sm Pu Rh
4 1 5
Direct
0.000 0.000 0.802
0.000 0.000 0.198
0.000 0.000 0.601
0.000 0.000 0.399
0.000 0.000 0.000
0.500 0.500 0.299
0.500 0.500 0.906
0.500 0.500 0.094
0.500 0.500 0.500
0.500 0.500 0.701
```

Summary:
- space-group type = No. 123
- magnetization (μB per atom) = 0.46
- E_form (meV/atom) = -638


Record 5
VASP calculation (GGA-PBE) on an optimized crystal structure of Sm3PuRh4.

Structure (POSCAR):
```
Sm3PuRh4
1.0
-4.831 0.645 0.722
-0.911 -1.777 -4.504
2.406 -5.865 4.523
Rh Pu Sm
4 1 3
Direct
0.878 0.878 0.755
0.122 0.122 0.245
0.622 0.622 0.245
0.378 0.378 0.755
0.500 0.000 0.000
0.000 0.500 0.000
0.749 0.249 0.497
0.251 0.751 0.503
```

Summary:
- space-group type = No. 139
- magnetization (μB per atom) = 0.59
- E_form (meV/atom) = -622


Record 6
VASP calculation (GGA-PBE) on an optimized crystal structure of SmPuRh2.

Structure (POSCAR):
```
SmPuRh2
1.0
-2.519 -2.181 1.022
3.316 -3.521 0.662
0.618 1.451 4.620
Sm Rh Pu
1 2 1
Direct
0.500 0.500 0.500
0.000 0.000 0.500
0.000 0.500 0.000
0.500 0.000 0.000
```

Summary:
- space-group type = No. 123
- magnetization (μB per atom) = 1.19
- E_form (meV/atom) = -547


Record 7
VASP calculation (GGA-PBE) on an optimized crystal structure of Sm3PuRh8.

Structure (POSCAR):
```
Sm3PuRh8
1.0
-2.198 3.797 3.100
-5.344 0.396 0.381
-2.437 -4.132 7.988
Rh Sm Pu
8 3 1
Direct
0.437 0.936 0.189
0.439 0.937 0.686
0.937 0.439 0.686
0.688 0.688 0.937
0.437 0.437 0.189
0.936 0.437 0.189
0.188 0.188 0.437
0.937 0.937 0.686
0.999 0.999 0.003
0.501 0.501 0.497
0.375 0.375 0.875
0.875 0.875 0.375
```

Summary:
- space-group type = No. 160
- magnetization (μB per atom) = 0.41
- E_form (meV/atom) = -632


Record 8
VASP calculation (GGA-PBE) on an optimized crystal structure of Sm2PuRh3.

Structure (POSCAR):
```
Sm2PuRh3
1.0
5.698 0.000 0.000
0.000 8.376 -0.011
-2.849 -2.103 5.661
Rh Sm Pu
6 4 2
Direct
0.618 0.750 0.000
0.382 0.250 0.000
0.175 0.076 0.272
0.902 0.424 0.728
0.098 0.576 0.272
0.825 0.924 0.728
0.296 0.918 0.651
0.644 0.582 0.349
0.704 0.082 0.349
0.356 0.418 0.651
0.899 0.250 0.000
0.101 0.750 0.000
```

Summary:
- space-group type = No. 15
- magnetization (μB per atom) = 0.79
- E_form (meV/atom) = -505